1) B2C | PBE | relaxed

Lattice parameters (Å, degrees): 4.8410 4.8410 5.3988 78.20 78.20 43.23
With the nearest neighbours (Å) after each atom.
Element x y z (fractional)
B1 0.9336 0.4286 0.5935  3 C 1.56-1.64
B2 0.3828 0.0577 0.0487  1 B 1.60
B3 0.7606 0.0451 0.8216  2 C 1.54-1.62, 1 B 1.60
B4 0.9423 0.6172 0.9513  1 B 1.60
B5 0.3144 0.6856 0.0000  2 C 1.62
B6 0.9549 0.2394 0.1784  2 C 1.54-1.62, 1 B 1.60
B7 0.5714 0.0664 0.4065  3 C 1.56-1.64
B8 0.3305 0.6695 0.5000  4 C 1.65-1.67
C1 0.5376 0.3999 0.2553  4 B 1.54-1.65
C2 0.2450 0.0733 0.3940  4 B 1.57-1.67
C3 0.9267 0.7550 0.6060  4 B 1.57-1.67
C4 0.6001 0.4624 0.7447  4 B 1.54-1.65

## Properties
Magnetic moment, μB/f.u.: 0.000


2) B2C | PBE | relaxed

Lattice parameters (Å, degrees): 6.1373 6.1373 5.6353 83.90 83.90 25.85
With the nearest neighbours (Å) after each atom.
Element x y z (fractional)
B1 0.0997 0.0997 0.6456  3 C 1.58-1.59
B2 0.7669 0.7669 0.8094  2 C 1.56
B3 0.8856 0.8856 0.9698  1 C 1.65, 3 B 1.76-1.80
B4 0.1144 0.1144 0.0302  1 C 1.65, 3 B 1.76-1.80
B5 0.2331 0.2331 0.1906  2 C 1.56
B6 0.4736 0.4736 0.8610  1 C 1.59, 1 B 1.75
B7 0.5264 0.5264 0.1390  1 C 1.59, 1 B 1.75
B8 0.9003 0.9003 0.3544  3 C 1.58-1.59
C1 0.2060 0.2060 0.7895  4 B 1.56-1.65
C2 0.7940 0.7940 0.2105  4 B 1.56-1.65
C3 0.4610 0.4610 0.4003  1 C 1.54, 3 B 1.59
C4 0.5390 0.5390 0.5997  1 C 1.54, 3 B 1.59

## Properties
Magnetic moment, μB/f.u.: 0.000


Which of them is most stable? Easy: 2).


1) Ce2BiO | PBE | relaxed

Lattice parameters (Å, degrees): 6.4900 6.5512 10.6752 96.63 90.00 90.00
With the nearest neighbours (Å) after each atom.
Element x y z (fractional)
Ce1 0.7621 0.9733 0.9242  2 O 2.32-2.36
Ce2 0.2379 0.0267 0.0758  2 O 2.32-2.36
Ce3 0.7621 0.5267 0.5758  2 O 2.32-2.36
Ce4 0.2379 0.4733 0.4242  2 O 2.32-2.36
Ce5 0.7981 0.4590 0.1712  2 O 2.35-2.42
Ce6 0.2019 0.5410 0.8288  2 O 2.35-2.42
Ce7 0.7981 0.0410 0.3288  2 O 2.35-2.42
Ce8 0.2019 0.9590 0.6712  2 O 2.35-2.42
Bi1 0.2924 0.9724 0.3731  6 Ce 3.25-3.39
Bi2 0.7076 0.0276 0.6269  6 Ce 3.25-3.39
Bi3 0.2924 0.5276 0.1269  6 Ce 3.25-3.39
Bi4 0.7076 0.4724 0.8731  6 Ce 3.25-3.39
O1 0.1026 0.6137 0.6204  4 Ce 2.32-2.42
O2 0.8974 0.3863 0.3796  4 Ce 2.32-2.42
O3 0.1026 0.8863 0.8796  4 Ce 2.32-2.42
O4 0.8974 0.1137 0.1204  4 Ce 2.32-2.42

## Properties
Magnetic moment, μB/f.u.: 2.997


2) Ce2BiO | PBE | relaxed

Lattice parameters (Å, degrees): 3.3110 3.3110 8.0028 90.00 90.00 90.00
With the nearest neighbours (Å) after each atom.
Element x y z (fractional)
O1 0.5000 0.5000 0.0000  8 Ce 2.78
Bi1 0.5000 0.5000 0.5000  4 Bi 3.31, 8 Ce 3.42
Ce1 0.0000 0.0000 0.8117  4 O 2.78, 1 Ce 3.01
Ce2 0.0000 0.0000 0.1883  4 O 2.78, 1 Ce 3.01

## Properties
Magnetic moment, μB/f.u.: 3.149


Which of them is most stable? Easy: 1).


1) Mg4Si7 | PBE | relaxed

Lattice parameters (Å, degrees): 3.9334 7.2041 14.6051 94.53 97.82 90.05
With the nearest neighbours (Å) after each atom.
Element x y z (fractional)
Mg1 0.0171 0.0606 0.9230  9 Si 2.81-3.05
Mg2 0.8143 0.3252 0.5109  4 Si 2.78-2.88
Mg3 0.2383 0.1356 0.3640  8 Si 2.79-3.11
Mg4 0.3849 0.5228 0.6564  5 Si 2.80-3.10, 1 Mg 3.13
Mg5 0.9718 0.5611 0.8293  10 Si 2.87-3.10, 2 Mg 3.18
Mg6 0.1609 0.5837 0.2114  6 Si 2.70-2.90, 1 Mg 2.99
Mg7 0.2667 0.6289 0.4190  8 Si 2.80-3.13, 1 Mg 2.99
Mg8 0.3483 0.0220 0.5824  8 Si 2.78-3.01
Si1 0.5326 0.4114 0.9541  4 Si 2.39-2.46
Si2 0.5354 0.7538 0.9618  4 Si 2.41-2.46
Si3 0.0836 0.7952 0.0583  3 Si 2.38-2.42
Si4 0.0789 0.3832 0.0455  3 Si 2.37-2.39
Si5 0.8370 0.7062 0.5594  2 Si 2.38-2.40
Si6 0.7818 0.9347 0.4495  2 Si 2.38-2.39
Si7 0.6663 0.1293 0.2214  4 Si 2.41-2.48
Si8 0.4609 0.8580 0.8043  4 Si 2.44-2.67
Si9 0.9078 0.2357 0.7015  3 Si 2.48-2.54
Si10 0.1173 0.1084 0.1251  4 Si 2.37-2.41
Si11 0.7190 0.4113 0.3240  1 Si 2.42
Si12 0.4601 0.2284 0.8060  4 Si 2.42-2.67
Si13 0.9118 0.8835 0.7068  4 Si 2.40-2.54
Si14 0.7015 0.8248 0.2896  2 Si 2.39-2.48

## Properties
Magnetic moment, μB/f.u.: 0.000


2) Mg4Si7 | PBE | relaxed

Lattice parameters (Å, degrees): 3.7196 6.7930 16.0956 81.79 90.00 90.00
With the nearest neighbours (Å) after each atom.
Element x y z (fractional)
Mg1 0.5000 0.2073 0.9185  9 Si 2.84-3.01, 1 Mg 3.16
Mg2 0.5000 0.7277 0.5107  2 Si 2.68-2.79
Mg3 0.0000 0.6477 0.3637  5 Si 2.84-3.16, 4 Mg 2.97-3.13
Mg4 0.0000 0.8488 0.6589  7 Si 2.80-3.04
Mg5 0.5000 0.7939 0.8505  7 Si 2.80-3.13
Mg6 0.0000 0.5113 0.1964  8 Si 2.73-3.02, 1 Mg 2.97
Mg7 0.0000 0.0647 0.4254  7 Si 2.82-2.93, 3 Mg 3.11-3.13
Mg8 0.0000 0.3917 0.5803  8 Si 2.83-3.02, 2 Mg 3.03
Si1 0.0000 0.5424 0.9429  3 Si 2.39-2.59
Si2 0.0000 0.9337 0.0175  3 Si 2.40-2.46
Si3 0.5000 0.7751 0.0941  4 Si 2.40-2.47
Si4 0.5000 0.4383 0.0524  5 Si 2.47-2.59
Si5 0.5000 0.0915 0.5561  2 Si 2.39-2.40, 1 Mg 2.68
Si6 0.5000 0.3686 0.4452  2 Si 2.40-2.41
Si7 0.0000 0.0674 0.2502  5 Si 2.43-2.59
Si8 0.0000 0.0940 0.7887  3 Si 2.42-2.51
Si9 0.5000 0.5453 0.7043  3 Si 2.48-2.50
Si10 0.0000 0.2070 0.1028  4 Si 2.43-2.49
Si11 0.5000 0.8256 0.2411  3 Si 2.44-2.50
Si12 0.0000 0.4558 0.8042  4 Si 2.39-2.51
Si13 0.5000 0.1809 0.6946  4 Si 2.39-2.50
Si14 0.5000 0.2812 0.3051  3 Si 2.41-2.59

## Properties
Magnetic moment, μB/f.u.: 0.000


Which of them is most stable? Easy: 1).


1) CdPBr2 | PBE | relaxed

Lattice parameters (Å, degrees): 3.8967 3.8967 9.3343 90.00 90.00 122.79
With the nearest neighbours (Å) after each atom.
Element x y z (fractional)
Br1 0.0000 0.0000 0.9236  2 P 2.59
Br2 0.5000 0.5000 0.3208  2 Cd 2.66
Cd1 0.0000 0.0000 0.5245  2 Br 2.66, 2 P 2.68
P1 0.5000 0.5000 0.7311  2 Br 2.59, 2 Cd 2.68

## Properties
Magnetic moment, μB/f.u.: 0.375


2) CdPBr2 | PBE | relaxed

Lattice parameters (Å, degrees): 10.5765 10.5765 7.8921 47.93 47.93 90.00
With the nearest neighbours (Å) after each atom.
Element x y z (fractional)
P1 0.5000 0.5000 0.0000  2 Cd 2.52, 4 Br 2.72
P2 0.2500 0.7500 0.5000  2 Cd 2.52, 4 Br 2.72
Br1 0.3750 0.1250 0.2500  2 P 2.72
Br2 0.3750 0.6250 0.2500  2 P 2.72
Br3 0.3750 0.6250 0.7500  2 P 2.72
Br4 0.8750 0.6250 0.7500  2 P 2.72
Cd1 0.0000 0.0000 0.0000  2 P 2.52
Cd2 0.7500 0.2500 0.5000  2 P 2.52

## Properties
Magnetic moment, μB/f.u.: 0.000


Which of them is most stable? Easy: 2).


1) GaGe | PBE | relaxed

Lattice parameters (Å, degrees): 6.5700 6.5700 4.4739 90.00 90.00 90.00
With the nearest neighbours (Å) after each atom.
Element x y z (fractional)
Ga1 0.7632 0.2368 0.0000  4 Ge 2.48-2.59
Ga2 0.2632 0.2632 0.5000  4 Ge 2.48-2.59
Ga3 0.7368 0.7368 0.5000  4 Ge 2.48-2.59
Ga4 0.2368 0.7632 0.0000  4 Ge 2.48-2.59
Ge1 0.8529 0.8529 0.0000  4 Ga 2.48-2.59, 1 Ge 2.73
Ge2 0.3529 0.6471 0.5000  4 Ga 2.48-2.59, 1 Ge 2.73
Ge3 0.6471 0.3529 0.5000  4 Ga 2.48-2.59, 1 Ge 2.73
Ge4 0.1471 0.1471 0.0000  4 Ga 2.48-2.59, 1 Ge 2.73

## Properties
Magnetic moment, μB/f.u.: 0.000


2) GaGe | PBE | relaxed

Lattice parameters (Å, degrees): 8.8322 12.6514 8.3817 90.00 90.00 90.00
With the nearest neighbours (Å) after each atom.
Element x y z (fractional)
Ga1 0.0000 0.3265 0.0000  4 Ge 2.52-2.59
Ga2 0.0000 0.6735 0.0000  4 Ge 2.52-2.59
Ga3 0.2500 0.4235 0.2500  4 Ge 2.52-2.59
Ga4 0.2500 0.0765 0.2500  4 Ge 2.52-2.59
Ga5 0.0000 0.8265 0.5000  4 Ge 2.52-2.59
Ga6 0.0000 0.1735 0.5000  4 Ge 2.52-2.59
Ga7 0.2500 0.9235 0.7500  4 Ge 2.52-2.59
Ga8 0.2500 0.5765 0.7500  4 Ge 2.52-2.59
Ga9 0.5000 0.3265 0.5000  4 Ge 2.52-2.59
Ga10 0.5000 0.6735 0.5000  4 Ge 2.52-2.59
Ga11 0.7500 0.4235 0.7500  4 Ge 2.52-2.59
Ga12 0.7500 0.0765 0.7500  4 Ge 2.52-2.59
Ga13 0.5000 0.8265 0.0000  4 Ge 2.52-2.59
Ga14 0.5000 0.1735 0.0000  4 Ge 2.52-2.59
Ga15 0.7500 0.9235 0.2500  4 Ge 2.52-2.59
Ga16 0.7500 0.5765 0.2500  4 Ge 2.52-2.59
Ge1 0.0000 0.0000 0.3369  4 Ga 2.52-2.59, 1 Ge 2.73
Ge2 0.0000 0.0000 0.6631  4 Ga 2.52-2.59, 1 Ge 2.73
Ge3 0.2500 0.7500 0.9131  4 Ga 2.52-2.59, 1 Ge 2.73
Ge4 0.2500 0.7500 0.5869  4 Ga 2.52-2.59, 1 Ge 2.73
Ge5 0.0000 0.5000 0.8369  4 Ga 2.52-2.59, 1 Ge 2.73
Ge6 0.0000 0.5000 0.1631  4 Ga 2.52-2.59, 1 Ge 2.73
Ge7 0.2500 0.2500 0.4131  4 Ga 2.52-2.59, 1 Ge 2.73
Ge8 0.2500 0.2500 0.0869  4 Ga 2.52-2.59, 1 Ge 2.73
Ge9 0.5000 0.0000 0.8369  4 Ga 2.52-2.59, 1 Ge 2.73
Ge10 0.5000 0.0000 0.1631  4 Ga 2.52-2.59, 1 Ge 2.73
Ge11 0.7500 0.7500 0.4131  4 Ga 2.52-2.59, 1 Ge 2.73
Ge12 0.7500 0.7500 0.0869  4 Ga 2.52-2.59, 1 Ge 2.73
Ge13 0.5000 0.5000 0.3369  4 Ga 2.52-2.59, 1 Ge 2.73
Ge14 0.5000 0.5000 0.6631  4 Ga 2.52-2.59, 1 Ge 2.73
Ge15 0.7500 0.2500 0.9131  4 Ga 2.52-2.59, 1 Ge 2.73
Ge16 0.7500 0.2500 0.5869  4 Ga 2.52-2.59, 1 Ge 2.73

## Properties
Magnetic moment, μB/f.u.: 0.000


Which of them is most stable? Easy: 1).


1) Sr3LiRh | PBE | relaxed

Lattice parameters (Å, degrees): 11.0535 11.0535 11.0535 60.00 60.00 60.00
With the nearest neighbours (Å) after each atom.
Element x y z (fractional)
Sr1 0.6910 0.3090 0.3090  2 Rh 2.95
Sr2 0.9410 0.5590 0.5590  2 Rh 2.95
Sr3 0.5590 0.5590 0.9410  2 Rh 2.95
Sr4 0.5590 0.9410 0.9410  2 Rh 2.95
Sr5 0.9410 0.5590 0.9410  2 Rh 2.95
Sr6 0.6910 0.3090 0.6910  2 Rh 2.95
Sr7 0.5590 0.9410 0.5590  2 Rh 2.95
Sr8 0.9410 0.9410 0.5590  2 Rh 2.95
Sr9 0.3090 0.6910 0.3090  2 Rh 2.95
Sr10 0.3090 0.6910 0.6910  2 Rh 2.95
Sr11 0.3090 0.3090 0.6910  2 Rh 2.95
Sr12 0.6910 0.6910 0.3090  2 Rh 2.95
Rh1 0.6250 0.6250 0.6250  6 Sr 2.95
Rh2 0.6250 0.1250 0.6250  6 Sr 2.95
Rh3 0.1250 0.6250 0.6250  6 Sr 2.95
Rh4 0.6250 0.6250 0.1250  6 Sr 2.95
Li1 0.1250 0.1250 0.1250  6 Sr 3.99
Li2 0.1250 0.6250 0.1250  6 Sr 3.99
Li3 0.6250 0.1250 0.1250  6 Sr 3.99
Li4 0.1250 0.1250 0.6250  6 Sr 3.99

## Properties
Magnetic moment, μB/f.u.: 0.000


2) Sr3LiRh | PBE | relaxed

Lattice parameters (Å, degrees): 19.6144 9.3097 9.3097 143.45 152.85 27.15
With the nearest neighbours (Å) after each atom.
Element x y z (fractional)
Sr1 0.2300 0.7821 0.2179  2 Rh 3.03-3.05, 1 Sr 3.24
Sr2 0.7700 0.2179 0.7821  2 Rh 3.03-3.05, 1 Sr 3.24
Sr3 0.9720 0.3559 0.6441  3 Rh 3.08-3.30
Sr4 0.0280 0.6441 0.3559  3 Rh 3.08-3.30
Sr5 0.4769 0.7110 0.2890  1 Rh 3.01
Sr6 0.5231 0.2890 0.7110  1 Rh 3.01
Rh1 0.0892 0.7659 0.2341  6 Sr 3.01-3.30
Rh2 0.9108 0.2341 0.7659  6 Sr 3.01-3.30
Li1 0.5878 0.9926 0.0074  1 Li 3.20, 5 Sr 3.51-3.58
Li2 0.4122 0.0074 0.9926  1 Li 3.20, 5 Sr 3.51-3.58

## Properties
Magnetic moment, μB/f.u.: 0.000


Which of them is most stable? Easy: 2).


1) BC5 | PBE | relaxed

Lattice parameters (Å, degrees): 4.4699 4.4699 4.4222 99.38 99.38 120.01
With the nearest neighbours (Å) after each atom.
Element x y z (fractional)
B1 0.1722 0.8358 0.5085  4 C 1.59-1.66
B2 0.3358 0.6722 0.0085  4 C 1.59-1.66
C1 0.0252 0.7044 0.1114  2 C 1.54, 2 B 1.59-1.66
C2 0.5016 0.4991 0.5007  4 C 1.54-1.57
C3 0.3749 0.3635 0.1253  3 C 1.55-1.57, 1 B 1.63
C4 0.2044 0.5252 0.6114  2 C 1.54, 2 B 1.59-1.66
C5 0.8352 0.1682 0.5014  4 C 1.54-1.56
C6 0.7170 0.0529 0.1277  3 C 1.55-1.56, 1 B 1.61
C7 0.6682 0.3352 0.0014  4 C 1.54-1.56
C8 0.5529 0.2170 0.6277  3 C 1.55-1.56, 1 B 1.61
C9 0.9991 0.0016 0.0007  4 C 1.54-1.57
C10 0.8635 0.8749 0.6253  3 C 1.55-1.57, 1 B 1.63

## Properties
Magnetic moment, μB/f.u.: 0.000


2) BC5 | PBE | relaxed

Lattice parameters (Å, degrees): 2.5201 3.6618 7.8251 90.00 90.00 90.00
With the nearest neighbours (Å) after each atom.
Element x y z (fractional)
B1 0.5000 0.5435 0.1667  2 C 1.61, 2 B 1.76
B2 0.0000 0.2065 0.1667  2 C 1.61, 2 B 1.76
C1 0.0000 0.9947 0.9860  3 C 1.54-1.55, 1 B 1.61
C2 0.5000 0.7553 0.9860  3 C 1.54-1.55, 1 B 1.61
C3 0.5000 0.4977 0.5054  4 C 1.55-1.57
C4 0.0000 0.2523 0.5054  4 C 1.55-1.57
C5 0.0000 0.9947 0.3474  3 C 1.54-1.55, 1 B 1.61
C6 0.5000 0.7553 0.3474  3 C 1.54-1.55, 1 B 1.61
C7 0.5000 0.4977 0.8280  4 C 1.55-1.57
C8 0.0000 0.2523 0.8280  4 C 1.55-1.57
C9 0.0000 0.9994 0.6667  4 C 1.55-1.57
C10 0.5000 0.7506 0.6667  4 C 1.55-1.57

## Properties
Magnetic moment, μB/f.u.: 0.000


Which of them is most stable? Easy: 2).